Here is an optimized crystal structure of La2Al12Co3Os from the Alexandria database. Energies are from PBE.

Results
Formation energy from the elements in eV per atom: -0.108
Total energy in eV per atom: -4.958
Space group: No. 166

a = 10.2257 Å, b = 10.2257 Å, c = 10.2257 Å
α = 36.10°, β = 36.10°, γ = 36.10°
Atoms (fractional coordinates):
La (0.1424, 0.1424, 0.1424)
La (0.8576, 0.8576, 0.8576)
Al (0.0973, 0.0973, 0.6781)
Al (0.0973, 0.6781, 0.0973)
Al (0.1305, 0.5829, 0.5829)
Al (0.3219, 0.9027, 0.9027)
Al (0.4171, 0.4171, 0.8695)
Al (0.4171, 0.8695, 0.4171)
Al (0.5829, 0.1305, 0.5829)
Al (0.5829, 0.5829, 0.1305)
Al (0.6781, 0.0973, 0.0973)
Al (0.8695, 0.4171, 0.4171)
Al (0.9027, 0.3219, 0.9027)
Al (0.9027, 0.9027, 0.3219)
Co (0.0000, 0.5000, 0.5000)
Co (0.5000, 0.0000, 0.5000)
Co (0.5000, 0.5000, 0.0000)
Os (0.5000, 0.5000, 0.5000)